This record from Alexandria describes a relaxed Ce2Er5Ni4 crystal. The functional is GGA-PBE.

Values from the calculation:
Volume: 22.71 Å³/atom
Uncorrected energy: -5.469 eV/atom

Lattice parameters (Å, degrees): 17.7765 3.4957 9.0584 90.00 117.45 90.00
Last column: nearest neighbours and their distance in Å.
Space group C2/m (No. 12)
Symmetry-distinct sites (fractional):
Ce  0.0320  0.0000  0.3834 (multiplicity 4)  1 Ni 2.61, 1 Ce 2.83
Er  0.0000  0.5000  0.0000 (multiplicity 2)  4 Ni 2.89
Er  0.1593  0.0000  0.9543 (multiplicity 4)  3 Ni 2.77-2.85
Er  0.2357  0.0000  0.6578 (multiplicity 4)  4 Ni 2.77-2.91
Ni  0.1126  0.5000  0.6885 (multiplicity 4)  4 Er 2.77-2.91, 4 Ce 2.92-3.02
Ni  0.1283  0.0000  0.2361 (multiplicity 4)  1 Ce 2.61, 5 Er 2.77-2.89